*one*
Compound: BeCdTe2
Source: the Alexandria database
Functional: PBE
Structure: optimized geometry

a = 7.827 Å, b = 7.827 Å, c = 6.401 Å
α = 52.31°, β = 52.31°, γ = 90.00°
Element x y z (fractional)
Be: 0.750 0.250 0.500
Be: 0.250 0.750 0.500
Te: 0.831 0.331 0.000
Te: 0.169 0.669 0.000
Te: 0.331 0.169 0.000
Te: 0.669 0.831 0.000
Cd: 0.750 0.750 0.500
Cd: 0.250 0.250 0.500

## Properties
M_tot   0.00 μB per cell

---

*two*
Compound: BeCdTe2
Source: the Alexandria database
Functional: PBE
Structure: optimized geometry

a = 5.870 Å, b = 5.870 Å, c = 7.044 Å
α = 65.38°, β = 65.38°, γ = 90.00°
Element x y z (fractional)
Be: 0.500 0.500 0.000
Be: 0.250 0.750 0.500
Te: 0.721 0.721 0.558
Te: 0.029 0.529 0.942
Te: 0.279 0.279 0.442
Te: 0.471 0.971 0.058
Cd: 0.000 0.000 0.000
Cd: 0.750 0.250 0.500

## Properties
M_tot   0.00 μB per cell

---

*three*
Compound: BeCdTe2
Source: the Alexandria database
Functional: PBE
Structure: optimized geometry

a = 23.762 Å, b = 4.030 Å, c = 8.649 Å
α = 90.00°, β = 146.56°, γ = 90.00°
Element x y z (fractional)
Be: 0.248 0.115 0.983
Be: 0.752 0.885 0.017
Be: 0.252 0.615 0.517
Be: 0.748 0.385 0.483
Te: 0.841 0.890 0.629
Te: 0.159 0.110 0.371
Te: 0.659 0.390 0.871
Te: 0.341 0.610 0.129
Te: 0.083 0.835 0.610
Te: 0.917 0.165 0.390
Te: 0.417 0.335 0.890
Te: 0.583 0.665 0.110
Cd: 0.660 0.088 0.546
Cd: 0.340 0.912 0.454
Cd: 0.840 0.588 0.954
Cd: 0.160 0.412 0.046

## Properties
M_tot   0.00 μB per cell

---

In terms of stability, *one* leads; the second structure lies 0.021 eV/atom higher.

---

*one*
Compound: Be3CdTe
Source: the Alexandria database
Functional: PBE
Structure: optimized geometry

a = 4.768 Å, b = 4.768 Å, c = 4.768 Å
α = 90.00°, β = 90.00°, γ = 90.00°
Element x y z (fractional)
Be: 0.000 0.500 0.000
Be: 0.000 0.000 0.500
Be: 0.500 0.000 0.000
Te: 0.000 0.000 0.000
Cd: 0.500 0.500 0.500

## Properties
M_tot   0.00 μB per cell

---

*two*
Compound: Be3CdTe
Source: the Alexandria database
Functional: PBE
Structure: optimized geometry

a = 4.558 Å, b = 4.558 Å, c = 4.558 Å
α = 90.00°, β = 90.00°, γ = 90.00°
Element x y z (fractional)
Be: 0.000 0.500 0.000
Be: 0.000 0.000 0.500
Be: 0.500 0.000 0.000
Te: 0.500 0.500 0.500
Cd: 0.000 0.000 0.000

## Properties
M_tot   0.00 μB per cell

---

In terms of stability, *two* leads; the second structure lies 0.171 eV/atom higher.